Record 1
Computed, not measured: a geometry-optimized ReTc3Ru structure at the PBE level of DFT.

abc: 5.114 5.114 7.014
angles: 97.73 97.73 120.81
Sites, in units of the cell vectors:
Re 0.034 0.034 0.181
Re 0.966 0.966 0.819
Tc 0.104 0.572 0.317
Tc 0.296 0.296 0.581
Tc 0.428 0.896 0.683
Tc 0.572 0.104 0.317
Tc 0.704 0.704 0.419
Tc 0.896 0.428 0.683
Ru 0.362 0.638 0.000
Ru 0.638 0.362 0.000

DFT total energy in eV per atom: -10.2939
ΔH_f (0 K) in kcal/mol of atoms: 6.24
Excess energy over the best structure of this formula in the dataset in eV per formula unit: 0.786
Crystal system: monoclinic

Record 2
Computed, not measured: a geometry-optimized Cd5Au6 structure at the PBE level of DFT.

abc: 6.656 6.656 8.267
angles: 90.00 90.00 142.50
Sites, in units of the cell vectors:
Cd 0.000 0.000 0.000
Cd 0.331 0.669 0.000
Cd 0.349 0.651 0.500
Cd 0.651 0.349 0.500
Cd 0.669 0.331 0.000
Au 0.165 0.835 0.259
Au 0.165 0.835 0.741
Au 0.500 0.500 0.245
Au 0.500 0.500 0.755
Au 0.835 0.165 0.259
Au 0.835 0.165 0.741

DFT total energy in eV per atom: -2.3187
ΔH_f (0 K) in kcal/mol of atoms: -2.65
Crystal system: orthorhombic

Repeat the second record exactly.
Computed, not measured: a geometry-optimized Cd5Au6 structure at the PBE level of DFT.

abc: 6.656 6.656 8.267
angles: 90.00 90.00 142.50
Sites, in units of the cell vectors:
Cd 0.000 0.000 0.000
Cd 0.331 0.669 0.000
Cd 0.349 0.651 0.500
Cd 0.651 0.349 0.500
Cd 0.669 0.331 0.000
Au 0.165 0.835 0.259
Au 0.165 0.835 0.741
Au 0.500 0.500 0.245
Au 0.500 0.500 0.755
Au 0.835 0.165 0.259
Au 0.835 0.165 0.741

DFT total energy in eV per atom: -2.3187
ΔH_f (0 K) in kcal/mol of atoms: -2.65
Crystal system: orthorhombic

> What is the DFT total energy in the second record?

-2.3187 eV per atom

> ΔH_f (0 K) of number 2 (Cd5Au6)?

-2.65 kcal/mol of atoms